K2ZrAlF: optimized geometry, PBE.

```
5
Lattice="4.618 0.000 0.000 0.000 4.618 0.000 0.000 0.000 6.948" Properties=species:S:1:pos:R:3 pbc="T T T"
K 0.000 2.309 0.000
K 2.309 0.000 0.000
Zr 0.000 0.000 3.474
Al 2.309 2.309 3.474
F 2.309 2.309 0.000
```

---

LaAlF2: optimized geometry, PBE.

```
4
Lattice="0.000 3.291 3.291 3.291 0.000 3.291 3.291 3.291 0.000" Properties=species:S:1:pos:R:3 pbc="T T T"
La 0.000 0.000 0.000
Al 3.291 3.291 3.291
F 1.645 1.645 1.645
F 4.936 4.936 4.936
```

---

no.,Fermi-level density of states (states/eV/f.u.),E_form (uncorrected) (eV per atom)
1,4.27,-0.26
2,2.95,-1.75